#A
MgSn2C: relaxed, PBE.

Results
SG: No. 122
Crystal system: tetragonal

a b c (Å): 6.613 6.613 6.613
angles (deg): 123.28 123.28 84.41
Fractional coordinates of all 8 atoms:
Mg: 0.000 0.000 0.000
Mg: 0.750 0.250 0.500
Sn: 0.212 0.625 0.087
Sn: 0.375 0.462 0.587
Sn: 0.538 0.125 0.913
Sn: 0.875 0.788 0.413
C: 0.250 0.750 0.500
C: 0.500 0.500 0.000



#B
MgSn2C: relaxed, PBE.

Results
SG: No. 225
Crystal system: cubic

a b c (Å): 4.848 4.848 4.848
angles (deg): 60.00 60.00 60.00
Fractional coordinates of all 4 atoms:
Mg: 0.000 0.000 0.000
Sn: 0.250 0.250 0.250
Sn: 0.750 0.750 0.750
C: 0.500 0.500 0.500



Result of the stability comparison: #A is the most stable of them.



#A
Sr2MgC: relaxed, PBE.

Results
SG: No. 122
Crystal system: tetragonal

a b c (Å): 6.951 6.951 6.951
angles (deg): 107.19 107.19 114.14
Fractional coordinates of all 8 atoms:
Sr: 0.024 0.625 0.899
Sr: 0.375 0.274 0.399
Sr: 0.726 0.125 0.101
Sr: 0.875 0.976 0.601
Mg: 0.250 0.750 0.500
Mg: 0.500 0.500 0.000
C: 0.000 0.000 0.000
C: 0.750 0.250 0.500



#B
Sr2MgC: relaxed, PBE.

Results
SG: No. 225
Crystal system: cubic

a b c (Å): 5.274 5.274 5.274
angles (deg): 60.00 60.00 60.00
Fractional coordinates of all 4 atoms:
Sr: 0.250 0.250 0.250
Sr: 0.750 0.750 0.750
Mg: 0.000 0.000 0.000
C: 0.500 0.500 0.500



Result of the stability comparison: #A is the most stable of them.